{
  "formula": "Ca2Pr5Sm",
  "functional": "PBE",
  "state": "optimized geometry",
  "spacegroup": "I4/mmm (139)",
  "dft_energy_ev_per_atom": -4.041,
  "vol_a3_per_atom": 37.1,
  "total_magnetization_mub_per_atom": 0.000,
  "lattice": [[-0.360, 1.030, -5.153], [-1.674, -4.918, -0.866], [-9.096, 5.149, 4.357]],
  "species": ["Ca", "Ca", "Pr", "Pr", "Pr", "Pr", "Pr", "Sm"],
  "fractional_positions": [[0.750, 0.750, 0.500], [0.250, 0.250, 0.500], [0.500, 0.500, 0.000], [0.382, 0.882, 0.763], [0.882, 0.382, 0.763], [0.618, 0.118, 0.237], [0.118, 0.618, 0.237], [0.000, 0.000, 0.000]]
}